Entry from Alexandria via LeMat-Bulk: Sr2CdOsC after structural relaxation (PBE).

Results
As for the formation energy: 0.05 eV per atom. Its density of states at the Fermi level is 3.528 states/eV/cell. Its crystal system is tetragonal. Its total magnetization is 0.000 μB per formula unit.

Lattice parameters (Å, degrees): 5.557 5.557 3.934 90.00 90.00 90.00
Positions (direct):
Cd (0.500, 0.500, 0.500)
C (0.000, 0.000, 0.000)
Sr (0.500, 0.000, 0.000)
Sr (0.000, 0.500, 0.000)
Os (0.000, 0.000, 0.500)